{"formula": "PmEuTlIr", "functional": "GGA-PBE", "state": "relaxed", "e_tot_ev_per_atom": -6.89, "m_tot_mub_per_cell": 6.880, "ef_mev_per_atom": -322.0, "dos_at_fermi_per_ev_atom": 2.032, "crystal_system": "cubic", "lattice_angstrom": [[0.000, 3.695, 3.695], [3.695, 0.000, 3.695], [3.695, 3.695, 0.000]], "species": ["Pm", "Eu", "Tl", "Ir"], "fractional_positions": [[0.000, 0.000, 0.000], [0.500, 0.500, 0.500], [0.250, 0.250, 0.250], [0.750, 0.750, 0.750]]}